## EuAl4Pt (GGA-PBE)

Data for an optimized crystal structure of EuAl4Pt.

Summary:
volume: 19.193 Å³ per atom
symmetry: P2_1/m
E_tot: -5.893 eV/atom

abc: 4.273 6.719 8.305
angles: 90.00 104.99 90.00
Positions (direct):
Al 0.185 0.550 0.370
Eu 0.618 0.250 0.236
Al 0.431 0.250 0.862
Eu 0.382 0.750 0.764
Al 0.000 0.000 0.000
Al 0.815 0.050 0.630
Al 0.815 0.450 0.630
Pt 0.722 0.750 0.443
Al 0.000 0.500 0.000
Pt 0.278 0.250 0.557
Al 0.569 0.750 0.138
Al 0.185 0.950 0.370